Compound: IrRh3
Source: the Alexandria database
Functional: GGA-PBE
Structure: optimized geometry

- Density: 14.56 Mg/m³
- Energy of formation: 0.073 eV per formula unit
- Final energy: -7.711 eV/atom

The structure in CIF format:
```
data_IrRh3
_chemical_formula_sum 'Ir4 Rh12'
_cell_length_a 4.714
_cell_length_b 8.885
_cell_length_c 5.455
_cell_angle_alpha 90.00
_cell_angle_beta 90.00
_cell_angle_gamma 90.00
_space_group_name_H-M_alt 'P n m a'
_space_group_IT_number 62
_space_group_name_Hall '-P 2ac 2n'
loop_
_atom_site_label
_atom_site_type_symbol
_atom_site_fract_x
_atom_site_fract_y
_atom_site_fract_z
Ir1 Ir 0.083 0.250 0.127
Rh1 Rh 0.084 0.250 0.624
Rh2 Rh 0.246 0.501 0.875
```